# 1
Entry from the Alexandria database: a relaxed structure of Sr5TlGa2 (PBE-GGA).

Properties
M_tot = 0.0 μB/f.u.
Fermi-level density of states = 13.88 states/eV/cell
DFT total energy = -39.2 eV for the cell shown

Cell lengths 10.1899, 10.1899, 10.1899 Å; angles 130.74, 130.74, 72.23 degrees
Fractional coordinates of all 16 atoms:
Sr (0.0000, 0.0000, 0.0000)
Sr (0.0364, 0.5364, 0.8557)
Sr (0.1807, 0.0364, 0.5000)
Sr (0.3193, 0.8193, 0.8557)
Sr (0.4636, 0.3193, 0.5000)
Sr (0.5000, 0.5000, 0.0000)
Sr (0.5364, 0.6807, 0.5000)
Sr (0.6807, 0.1807, 0.1443)
Sr (0.8193, 0.9636, 0.5000)
Sr (0.9636, 0.4636, 0.1443)
Tl (0.2500, 0.2500, 0.0000)
Tl (0.7500, 0.7500, 0.0000)
Ga (0.1049, 0.3951, 0.5000)
Ga (0.3951, 0.8951, 0.2902)
Ga (0.6049, 0.1049, 0.7098)
Ga (0.8951, 0.6049, 0.5000)

# 2
Entry from the Alexandria database: a relaxed structure of SrTl2Ga (PBE-GGA).

Properties
M_tot = 0.0 μB/f.u.
Fermi-level density of states = 1.56 states/eV/cell
Energy relative to the lowest polymorph listed for this composition = 0.073 eV per atom
DFT total energy = -10.2 eV for the cell shown

Cell lengths 3.8745, 3.8745, 7.6768 Å; angles 90.00, 90.00, 90.00 degrees
Fractional coordinates of all 4 atoms:
Sr (0.0000, 0.0000, 0.0000)
Tl (0.5000, 0.5000, 0.2880)
Tl (0.5000, 0.5000, 0.7120)
Ga (0.0000, 0.0000, 0.5000)